Entry 1:
Here is GdY2Sn after structural relaxation from Alexandria. Energies are from PBE.

a b c (Å): 4.872 4.872 4.778
angles (deg): 90.00 90.00 90.00
Fractional coordinates of all 4 atoms:
1 Gd 0.000 0.000 0.000
2 Y 0.000 0.500 0.500
3 Y 0.500 0.000 0.500
4 Sn 0.500 0.500 0.000

## Properties
theoretical density: 6.6 g/cm3
energy above the lowest structure with this stoichiometry: 0.00 eV per formula unit
ΔH_f (0 K): -0.433 eV/atom



Entry 2:
Here is Li5In2Ga after structural relaxation from Alexandria. Energies are from PBE.

a b c (Å): 7.398 7.398 7.398
angles (deg): 143.65 143.65 52.34
Fractional coordinates of all 8 atoms:
1 Li 0.000 0.000 0.000
2 Li 0.114 0.614 0.500
3 Li 0.386 0.886 0.500
4 Li 0.614 0.114 0.500
5 Li 0.886 0.386 0.500
6 In 0.249 0.249 0.000
7 In 0.751 0.751 0.000
8 Ga 0.500 0.500 0.000

## Properties
theoretical density: 3.9 g/cm3
ΔH_f (0 K): -0.254 eV/atom



Entry 3:
Here is CaAsPd2 after structural relaxation from Alexandria. Energies are from PBE.

a b c (Å): 7.534 7.138 5.634
angles (deg): 90.00 90.00 90.00
Fractional coordinates of all 16 atoms:
1 Ca 0.024 0.250 0.134
2 Ca 0.476 0.750 0.634
3 Ca 0.524 0.250 0.366
4 Ca 0.976 0.750 0.866
5 As 0.127 0.750 0.360
6 As 0.373 0.250 0.860
7 As 0.627 0.750 0.140
8 As 0.873 0.250 0.640
9 Pd 0.174 0.051 0.591
10 Pd 0.174 0.449 0.591
11 Pd 0.326 0.551 0.091
12 Pd 0.326 0.949 0.091
13 Pd 0.674 0.051 0.909
14 Pd 0.674 0.449 0.909
15 Pd 0.826 0.551 0.409
16 Pd 0.826 0.949 0.409

## Properties
theoretical density: 7.2 g/cm3
ΔH_f (0 K): -0.812 eV/atom